First-principles (PBE) data for BaNa4Tl after structural relaxation, as listed in the Alexandria database.

POSCAR file:
```
BaNa4Tl
1.0
-0.481 5.276 -4.113
-5.773 1.265 -3.171
-3.705 5.303 1.768
Na Tl Ba
4 1 1
Direct
0.627 0.119 0.627
0.119 0.627 0.627
0.627 0.627 0.119
0.627 0.627 0.627
0.000 0.000 0.000
0.250 0.250 0.250
```

DFT total energy ... -1.62 eV per atom
Energy of formation ... -28 meV/atom

=====

First-principles (PBE) data for Pm3NdAl8 after structural relaxation, as listed in the Alexandria database.

POSCAR file:
```
Pm3NdAl8
1.0
-5.285 0.536 1.956
-4.362 0.045 -3.607
-3.890 -9.021 0.151
Al Pm Nd
8 3 1
Direct
0.937 0.437 0.688
0.437 0.937 0.688
0.938 0.438 0.187
0.438 0.438 0.187
0.937 0.937 0.688
0.187 0.187 0.438
0.688 0.688 0.937
0.438 0.938 0.187
0.000 0.000 0.000
0.375 0.375 0.875
0.500 0.500 0.500
0.875 0.875 0.375
```

DFT total energy ... -4.59 eV per atom
Energy of formation ... -507 meV/atom
Energy above the lowest structure with this stoichiometry ... 0.000 eV per atom

=====

First-principles (PBE) data for Tb4MgBi2 after structural relaxation, as listed in the Alexandria database.

POSCAR file:
```
Tb4MgBi2
1.0
-5.493 2.601 -0.530
-0.594 -2.524 -6.236
-2.360 -9.453 4.051
Tb Bi Mg
8 4 2
Direct
0.454 0.008 0.739
0.018 0.750 0.823
0.139 0.750 0.454
0.454 0.492 0.739
0.546 0.508 0.261
0.546 0.992 0.261
0.861 0.250 0.546
0.982 0.250 0.177
0.389 0.250 0.002
0.687 0.750 0.541
0.313 0.250 0.459
0.611 0.750 0.998
0.941 0.250 0.838
0.059 0.750 0.162
```

DFT total energy ... -4.32 eV per atom
Energy of formation ... -335 meV/atom

=====

First-principles (PBE) data for AuBrF2 after structural relaxation, as listed in the Alexandria database.

POSCAR file:
```
AuBrF2
1.0
1.752 0.000 8.814
-0.876 1.517 8.814
-0.876 -1.517 8.814
F Au Br
2 1 1
Direct
0.072 0.072 0.072
0.928 0.928 0.928
0.500 0.500 0.500
0.000 0.000 0.000
```

DFT total energy ... -2.51 eV per atom
Energy above the lowest structure with this stoichiometry ... 0.418 eV per atom
Formation energy from raw total energies ... -0.332 eV per atom

=====

First-principles (PBE) data for Sb2W3 after structural relaxation, as listed in the Alexandria database.

POSCAR file:
```
Sb2W3
1.0
-0.882 -10.964 1.239
-0.565 -10.887 -1.922
2.014 -10.884 -0.066
Sb W
2 3
Direct
0.399 0.399 0.399
0.601 0.601 0.601
0.806 0.806 0.806
0.000 0.000 0.000
0.194 0.194 0.194
```

DFT total energy ... -8.77 eV per atom
Energy above the lowest structure with this stoichiometry ... 0.042 eV per atom
Formation energy from raw total energies ... 0.650 eV per atom

=====

First-principles (PBE) data for YZn2Ni4 after structural relaxation, as listed in the Alexandria database.

POSCAR file:
```
YZn2Ni4
1.0
-3.092 -4.253 1.962
5.145 -0.398 -2.207
0.971 2.968 4.663
Zn Ni Y
2 4 1
Direct
0.750 0.250 0.500
0.250 0.750 0.500
0.500 0.722 0.222
0.500 0.278 0.778
0.722 0.500 0.222
0.278 0.500 0.778
0.000 0.000 0.000
```

DFT total energy ... -4.32 eV per atom
Energy of formation ... 272 meV/atom
Energy above the lowest structure with this stoichiometry ... 0.558 eV per atom

=====

First-principles (PBE) data for Na2LaBeNi after structural relaxation, as listed in the Alexandria database.

POSCAR file:
```
Na2LaBeNi
1.0
-4.978 0.110 -0.702
0.542 -1.470 -4.075
-0.339 -4.733 1.663
Na Be Ni La
2 1 1 1
Direct
0.500 0.000 0.000
0.000 0.000 0.500
0.000 0.000 0.000
0.000 0.500 0.000
0.500 0.500 0.500
```

DFT total energy ... -2.90 eV per atom
Energy of formation ... 518 meV/atom

=====

First-principles (PBE) data for SrNiTe2 after structural relaxation, as listed in the Alexandria database.

POSCAR file:
```
SrNiTe2
1.0
-3.326 -2.906 -0.500
4.299 -0.850 -0.741
0.848 -2.263 7.509
Sr Ni Te
1 1 2
Direct
0.500 0.500 0.750
0.500 0.500 0.250
0.000 0.000 0.447
0.000 0.000 0.053
```

DFT total energy ... -3.85 eV per atom
Formation energy from raw total energies ... -0.415 eV per atom

=====

First-principles (PBE) data for Ca2AsI after structural relaxation, as listed in the Alexandria database.

POSCAR file:
```
Ca2AsI
1.0
0.000 3.824 3.824
3.824 0.000 3.824
3.824 3.824 0.000
Ca As I
2 1 1
Direct
0.750 0.750 0.750
0.250 0.250 0.250
0.000 0.000 0.000
0.500 0.500 0.500
```

DFT total energy ... -3.59 eV per atom
Formation energy from raw total energies ... -1.043 eV per atom